Record 1
SmYSc5 | Alexandria | PBE | relaxed; total energy = -5.737 eV per atom; energy of formation from the pure elements = 383 meV/atom; magnetization = 0.0 Bohr magnetons per cell
1.0
5.1524 0.0000 0.0000
0.0000 5.1524 0.0000
0.0000 0.0000 7.5671
Sm Y Sc
1 1 5
Direct
0.0000 0.0000 0.0000
0.5000 0.5000 0.5000
0.0000 0.5000 0.2725
0.0000 0.5000 0.7275
0.5000 0.0000 0.2725
0.5000 0.0000 0.7275
0.5000 0.5000 0.0000

***

Record 2
SnGe2Pd | Alexandria | PBE | relaxed; total energy = -4.416 eV per atom; energy of formation from the pure elements = 192 meV/atom; magnetization = 0.0 Bohr magnetons per cell
1.0
1.5317 0.8843 10.2488
-1.5317 0.8843 10.2488
0.0000 -1.7687 10.2488
Sn Ge Pd
1 2 1
Direct
0.0000 0.0000 0.0000
0.4203 0.4203 0.4203
0.5797 0.5797 0.5797
0.5000 0.5000 0.5000

***

Record 3
Dy15Er4Sc | Alexandria | PBE | relaxed; total energy = -4.658 eV per atom; energy of formation from the pure elements = 23 meV/atom; magnetization = 0.0 Bohr magnetons per cell
1.0
4.9837 0.0000 0.0000
0.0000 4.9837 0.0000
0.0000 0.0000 24.8628
Dy Er Sc
15 4 1
Direct
0.0000 0.0000 0.0000
0.0000 0.0000 0.1978
0.0000 0.0000 0.3993
0.0000 0.0000 0.6007
0.0000 0.0000 0.8022
0.0000 0.5000 0.0971
0.0000 0.5000 0.2986
0.0000 0.5000 0.5000
0.0000 0.5000 0.7014
0.0000 0.5000 0.9029
0.5000 0.0000 0.0971
0.5000 0.0000 0.2986
0.5000 0.0000 0.5000
0.5000 0.0000 0.7014
0.5000 0.0000 0.9029
0.5000 0.5000 0.1981
0.5000 0.5000 0.3993
0.5000 0.5000 0.6007
0.5000 0.5000 0.8019
0.5000 0.5000 0.0000